Compound: BaZr2Re
Source: Alexandria via LeMat-Bulk
Functional: meta-GGA SCAN
Structure: PBEsol geometry

The space group is Immm (No. 71) and the conventional cell measures 3.1925, 5.9363 and 10.6868 Å, with angles of 90.00, 90.00 and 90.00 degrees. The asymmetric unit holds Ba at (0.0000, 0.0000, 0.0000), Zr at (0.0000, 0.5000, 0.1970) and Re at (0.0000, 0.0000, 0.5000).

The calculation puts the spin magnetization at 0.00 Bohr magnetons per cell. The total energy comes out at -42.479 eV/atom. The value obtained for the formation energy is 0.533 eV/atom.

***

Compound: Ba4Rh
Source: Alexandria via LeMat-Bulk
Functional: meta-GGA SCAN
Structure: PBEsol geometry

The space group is I4/m (No. 87) and the conventional cell measures 10.6073, 10.6073 and 3.9243 Å, with angles of 90.00, 90.00 and 90.00 degrees. The asymmetric unit holds Ba at (0.0534, 0.7633, 0.0000) and Rh at (0.0000, 0.0000, 0.5000).

The calculation puts the spin magnetization at 0.00 Bohr magnetons per cell. The total energy comes out at -38.440 eV/atom. The value obtained for the formation energy is -0.046 eV/atom.

***

Compound: Ba5Rh3
Source: Alexandria via LeMat-Bulk
Functional: meta-GGA SCAN
Structure: PBEsol geometry

The space group is P6_3/mcm (No. 193) and the conventional cell measures 8.9869, 8.9869 and 7.0871 Å, with angles of 90.00, 90.00 and 120.00 degrees. The asymmetric unit holds Ba at (0.0000, 0.2668, 0.2500), Ba at (0.3333, 0.6667, 0.0000) and Rh at (0.0000, 0.3853, 0.7500).

The calculation puts the spin magnetization at 0.00 Bohr magnetons per cell. The total energy comes out at -37.495 eV/atom. The value obtained for the formation energy is -0.112 eV/atom.